## Ta2CoReF (GGA+U)

Data for Ta2CoReF after structural relaxation.

a b c (Å): 4.320 4.064 4.320
angles (deg): 90.00 90.00 90.00
Element x y z (fractional)
1 F 0.000 0.000 0.000
2 Ta 0.000 0.000 0.500
3 Ta 0.500 0.000 0.000
4 Re 0.000 0.500 0.000
5 Co 0.500 0.500 0.500

* electronic total energy: -39.63 eV per cell
* crystal system: tetragonal